Compound: KMgBe2
Source: the Alexandria database
Functional: PBE-GGA
Structure: relaxed

Computed properties:
**Energy relative to the elements**: 0.25 eV/atom
**Magnetic moment**: 0.00 μB per atom
**Space group**: No. 12
**Final energy**: -36.52 eV per cell

Unit cell a=15.5498 b=3.6721 c=6.3870 alpha=90.00 beta=95.44 gamma=90.00
Fractional positions:
Mg  0.3401  0.5000  0.1304
Mg  0.6599  0.5000  0.8696
Mg  0.3401  0.0000  0.6304
Mg  0.6599  0.0000  0.3696
K  0.1320  0.0000  0.2510
K  0.1320  0.5000  0.7511
K  0.8680  0.5000  0.2490
K  0.8680  0.0000  0.7489
Be  0.5116  0.5000  0.1688
Be  0.4884  0.0000  0.3312
Be  0.5628  0.5000  0.5140
Be  0.4372  0.5000  0.4860
Be  0.5116  0.0000  0.6688
Be  0.5628  0.0000  0.0140
Be  0.4884  0.5000  0.8312
Be  0.4372  0.0000  0.9860



Compound: Pr12Er7Mg
Source: the Alexandria database
Functional: PBE-GGA
Structure: relaxed

Computed properties:
**Energy relative to the elements**: 0.68 eV/atom
**Magnetic moment**: 0.00 μB per atom
**Space group**: No. 204
**Final energy**: -77.21 eV per cell
**Energy relative to the lowest polymorph listed for this composition**: 0.5514 eV per atom

Unit cell a=10.1144 b=10.1144 c=10.1144 alpha=109.47 beta=109.47 gamma=109.47
Fractional positions:
Pr  0.5012  0.2477  0.2536
Pr  0.2477  0.2536  0.5012
Pr  0.2477  0.7464  0.9941
Pr  0.7523  0.2536  0.0059
Pr  0.9941  0.2477  0.7464
Pr  0.7464  0.4988  0.7523
Pr  0.2536  0.0059  0.7523
Pr  0.4988  0.7523  0.7464
Pr  0.0059  0.7523  0.2536
Pr  0.7523  0.7464  0.4988
Pr  0.7464  0.9941  0.2477
Pr  0.2536  0.5012  0.2477
Er  0.0000  0.5000  0.5000
Er  0.0000  0.0000  0.5000
Er  0.5000  0.5000  0.5000
Er  0.5000  0.5000  0.0000
Er  0.5000  0.0000  0.5000
Er  0.0000  0.5000  0.0000
Er  0.5000  0.0000  0.0000
Mg  0.0000  0.0000  0.0000